DFT (PBE+U) results for a relaxed structure of K3Tm2FeO6.

Cell: 5.7611 5.7611 6.4921 Å, 98.48 98.48 120.00°
Closest atoms and distances in Å follow each position.
Fractional coordinates of all 12 atoms:
K 0.0000 0.0000 0.0000  6 O 2.73-2.82
K 0.3363 0.6637 0.0000  6 O 2.71-2.84
K 0.6637 0.3363 0.0000  6 O 2.71-2.84
Tm 0.1668 0.8332 0.5000  6 O 2.26
Tm 0.8332 0.1668 0.5000  6 O 2.26
Fe 0.5000 0.5000 0.5000  6 O 2.14-2.15
O 0.1222 0.4398 0.3191  1 Fe 2.15, 2 Tm 2.26
O 0.2425 0.2425 0.6802  1 Fe 2.14, 2 Tm 2.26
O 0.4398 0.1222 0.3191  1 Fe 2.15, 2 Tm 2.26
O 0.5602 0.8778 0.6809  1 Fe 2.15, 2 Tm 2.26
O 0.7575 0.7575 0.3198  1 Fe 2.14, 2 Tm 2.26
O 0.8778 0.5602 0.6809  1 Fe 2.15, 2 Tm 2.26

DFT total energy = -6.31 eV per atom
V = 14.858 Å³ per atom
SG = No. 12
N(E_F) = 0.0000 states/eV per atom